Entry from Alexandria: a relaxed LiFeSi2O6 crystal (GGA+U).

DOS at the Fermi energy, states/eV per atom: 0.000
Size of the total moment, μB/f.u.: 4.99
Symmetry: C2/c (15)
Energy above the most stable polymorph in this dataset, meV/atom: 0

Cell lengths 6.591, 6.591, 5.360 Å; angles 105.20, 105.20, 83.56 degrees
Atoms (fractional coordinates):
1 Li 0.243 0.757 0.750
2 Li 0.757 0.243 0.250
3 Fe 0.398 0.602 0.250
4 Fe 0.602 0.398 0.750
5 Si 0.115 0.293 0.732
6 Si 0.293 0.115 0.232
7 Si 0.707 0.885 0.768
8 Si 0.885 0.707 0.268
9 O 0.125 0.611 0.328
10 O 0.142 0.149 0.441
11 O 0.149 0.142 0.941
12 O 0.298 0.469 0.850
13 O 0.389 0.875 0.172
14 O 0.469 0.298 0.350
15 O 0.531 0.702 0.650
16 O 0.611 0.125 0.828
17 O 0.702 0.531 0.150
18 O 0.851 0.858 0.059
19 O 0.858 0.851 0.559
20 O 0.875 0.389 0.672